No. 1
Density functional theory data (PBE-GGA) for crystalline Rb3Ce3InTe8 at its relaxed geometry.

```
Rb3Ce3InTe8
1.0
9.1294 -0.0004 0.0001
-4.5651 7.9112 -0.0291
0.0003 -5.2416 8.6963
Te Ce In Rb
8 3 1 3
Cartesian
-2.3061 3.9919 6.0245
2.2584 -1.3227 2.6428
4.5646 2.6713 2.6270
0.0001 -0.0021 6.0402
6.8708 -1.3227 2.6427
0.0000 2.6469 2.5661
2.3063 3.9919 6.0244
4.5647 0.0223 6.1011
-2.2824 1.3348 4.3336
4.5649 -2.6210 4.3482
2.2823 1.3346 4.3336
0.0002 -2.6208 4.3481
0.0000 0.0000 0.0000
2.2822 3.9554 -0.0145
-2.2825 3.9556 -0.0146
```

Calculated values
- ΔE_f (raw): -1.11 eV/atom
- Space group: No. 166
- Crystal system: trigonal

No. 2
Density functional theory data (PBE-GGA) for crystalline Ce3InRe at its relaxed geometry.

```
Ce3InRe
1.0
-3.9869 -1.6508 -1.6979
3.8145 -4.6987 -4.3886
-3.5583 -0.8082 9.1408
Ce In Re
6 2 2
Cartesian
-4.0719 -3.4098 0.5208
-4.4437 -5.0487 2.9870
1.2103 -5.4800 -3.5376
-2.0457 -6.3736 -1.3554
-3.7646 -2.9144 5.6493
-0.5780 -3.7451 -1.0252
-6.8171 -3.1357 6.6999
-1.3912 -4.8274 1.9364
-1.7668 -4.6965 -3.6409
-2.8831 -2.4584 3.1365
```

Calculated values
- Energy relative to the elements: -7.6 kJ per mole of atoms
- Space group: No. 11
- Crystal system: monoclinic

No. 3
Density functional theory data (PBE-GGA) for crystalline Ce7In2Rh2 at its relaxed geometry.

```
Ce7In2Rh2
1.0
-1.8141 -2.0907 2.2846
1.3519 -8.8757 -4.2299
7.1357 -6.3635 2.6620
Rh Ce In
2 7 2
Cartesian
4.9822 -13.8804 -0.2888
0.6248 -3.9127 -0.2654
6.1381 -7.4482 3.6964
1.0672 -6.8616 0.2065
3.8641 -5.0921 1.2275
0.6592 -3.9882 2.5120
4.3280 -11.0236 -1.0130
7.4865 -12.7023 -0.0412
5.1977 -11.2004 2.3350
3.0956 -8.1184 -2.1522
3.9048 -8.4183 1.0352
```

Calculated values
- Energy relative to the elements: -33.1 kJ per mole of atoms
- Space group: No. 44
- Crystal system: orthorhombic

No. 4
Density functional theory data (PBE-GGA) for crystalline Ce4InRh5 at its relaxed geometry.

```
Ce4InRh5
1.0
5.5895 0.0000 0.0000
2.7947 6.1867 0.0000
2.7947 0.0000 6.1867
Rh Ce In
5 4 1
Cartesian
5.3240 1.1282 2.2252
8.1187 2.2252 5.0585
5.3240 5.0585 3.9614
2.5293 3.9614 1.1282
3.5924 0.0000 0.0000
8.2536 4.9037 3.7471
2.6642 1.2829 2.4395
5.4589 3.7471 1.2829
5.4589 2.4395 4.9037
0.8440 0.0000 0.0000
```

Calculated values
- Energy relative to the elements: -64.7 kJ per mole of atoms
- Space group: No. 79
- Crystal system: tetragonal

Table of theoretical density (g/cm3), in record order: 4.80 9.55 8.18 9.24